This record from Alexandria via LeMat-Bulk describes a relaxed TaMnCr2O6 crystal. The functional is PBE with a Hubbard U.

Results
E: -8.533 eV per atom
V: 117 Å³/cell

a b c (Å): 5.4373 5.1950 5.7411
angles (deg): 62.89 59.18 60.79
Element x y z (fractional)
Ta 0.3212 0.3056 0.0626
Cr 0.5098 0.5154 0.4594
Cr 0.0152 0.0162 0.9384
Mn 0.8228 0.7820 0.5867
O 0.9259 0.5987 0.2360
O 0.6848 0.1462 0.7371
O 0.5856 0.2635 0.2197
O 0.2485 0.9207 0.2675
O 0.1364 0.4044 0.7597
O 0.4112 0.7090 0.7482